Version a
Ba3PAu: optimized geometry, GGA-PBE.

```
data_Ba3PAu
_chemical_formula_sum 'Ba6 P2 Au2'
_cell_length_a 8.3087
_cell_length_b 4.6937
_cell_length_c 11.5724
_cell_angle_alpha 90.00
_cell_angle_beta 91.05
_cell_angle_gamma 90.00
_space_group_name_H-M_alt 'P 1 21/m 1'
_space_group_IT_number 11
loop_
_space_group_symop_operation_xyz
'x,y,z'
'-x,-y,-z'
'-x,y+1/2,-z'
'x,-y+1/2,z'
loop_
_atom_site_label
_atom_site_fract_x
_atom_site_fract_y
_atom_site_fract_z
_atom_site_occupancy
Ba1 0.0753 0.2500 0.1869 1
Ba2 0.2280 0.7500 0.5061 1
Ba3 0.3954 0.2500 0.8235 1
P1 0.0807 0.2500 0.6733 1
Au1 0.4224 0.2500 0.3295 1
```

---

Version b
Ba3PAu: optimized geometry, GGA-PBE.

```
data_Ba3PAu
_chemical_formula_sum 'Ba3 P1 Au1'
_cell_length_a 6.1693
_cell_length_b 6.1693
_cell_length_c 6.1693
_cell_angle_alpha 90.00
_cell_angle_beta 90.00
_cell_angle_gamma 90.00
_space_group_name_H-M_alt 'P m -3 m'
_space_group_IT_number 221
_space_group_name_Hall '-P 4 2 3'
loop_
_atom_site_label
_atom_site_fract_x
_atom_site_fract_y
_atom_site_fract_z
_atom_site_occupancy
Ba1 0.0000 0.0000 0.5000 1
P1 0.0000 0.0000 0.0000 1
Au1 0.5000 0.5000 0.5000 1
```

---

Energies, relative to the best one, in meV per atom: version a 0; version b 251.

---

Version a
Ba4PAu: optimized geometry, GGA-PBE.

```
data_Ba4PAu
_chemical_formula_sum 'Ba8 P2 Au2'
_cell_length_a 7.8563
_cell_length_b 7.8576
_cell_length_c 7.9624
_cell_angle_alpha 90.00
_cell_angle_beta 90.11
_cell_angle_gamma 90.00
_space_group_name_H-M_alt 'C 1 2/m 1'
_space_group_IT_number 12
loop_
_space_group_symop_operation_xyz
'x,y,z'
'-x,-y,-z'
'-x,y,-z'
'x,-y,z'
'x+1/2,y+1/2,z'
'-x+1/2,-y+1/2,-z'
'-x+1/2,y+1/2,-z'
'x+1/2,-y+1/2,z'
loop_
_atom_site_label
_atom_site_fract_x
_atom_site_fract_y
_atom_site_fract_z
_atom_site_occupancy
Ba1 0.2503 0.2501 0.2375 1
P1 0.0000 0.0000 0.0000 1
Au1 0.0000 0.5000 0.5000 1
```

---

Version b
Ba4PAu: optimized geometry, GGA-PBE.

```
data_Ba4PAu
_chemical_formula_sum 'Ba16 P4 Au4'
_cell_length_a 9.8207
_cell_length_b 9.8207
_cell_length_c 9.8207
_cell_angle_alpha 90.00
_cell_angle_beta 90.00
_cell_angle_gamma 90.00
_space_group_name_H-M_alt 'F -4 3 m'
_space_group_IT_number 216
_space_group_name_Hall 'F -4 2 3'
loop_
_atom_site_label
_atom_site_fract_x
_atom_site_fract_y
_atom_site_fract_z
_atom_site_occupancy
Ba1 0.1239 0.1239 0.1239 1
P1 0.2500 0.2500 0.7500 1
Au1 0.0000 0.0000 0.5000 1
```

---

Energies, relative to the best one, in meV per atom: version a 0; version b 969.

---

Version a
BaPb4Au2: optimized geometry, GGA-PBE.

```
data_BaPb4Au2
_chemical_formula_sum 'Ba2 Pb8 Au4'
_cell_length_a 5.0683
_cell_length_b 18.6520
_cell_length_c 4.5041
_cell_angle_alpha 90.00
_cell_angle_beta 90.00
_cell_angle_gamma 90.00
_space_group_name_H-M_alt 'C m m m'
_space_group_IT_number 65
_space_group_name_Hall '-C 2 2'
loop_
_atom_site_label
_atom_site_fract_x
_atom_site_fract_y
_atom_site_fract_z
_atom_site_occupancy
Ba1 0.0000 0.0000 0.0000 1
Pb1 0.0000 0.1730 0.5000 1
Pb2 0.0000 0.3149 0.0000 1
Au1 0.0000 0.4268 0.5000 1
```

---

Version b
BaPb4Au2: optimized geometry, GGA-PBE.

```
data_BaPb4Au2
_chemical_formula_sum 'Ba4 Pb16 Au8'
_cell_length_a 20.6728
_cell_length_b 4.8376
_cell_length_c 8.2047
_cell_angle_alpha 90.00
_cell_angle_beta 90.00
_cell_angle_gamma 90.00
_space_group_name_H-M_alt 'P n m a'
_space_group_IT_number 62
loop_
_space_group_symop_operation_xyz
'x,y,z'
'-x,-y,-z'
'-x+1/2,-y,z+1/2'
'x+1/2,y,-z+1/2'
'x+1/2,-y+1/2,-z+1/2'
'-x+1/2,y+1/2,z+1/2'
'-x,y+1/2,-z'
'x,-y+1/2,z'
loop_
_atom_site_label
_atom_site_fract_x
_atom_site_fract_y
_atom_site_fract_z
_atom_site_occupancy
Ba1 0.1446 0.2500 0.0171 1
Pb1 0.0293 0.7500 0.8559 1
Pb2 0.0666 0.2500 0.4947 1
Pb3 0.1865 0.7500 0.3149 1
Pb4 0.1857 0.7500 0.7125 1
Au1 0.0437 0.7500 0.2413 1
Au2 0.2205 0.2500 0.5138 1
```

---

Energies, relative to the best one, in meV per atom: version a 40; version b 0.

---

Version a
BaPb6Au2: optimized geometry, GGA-PBE.

```
data_BaPb6Au2
_chemical_formula_sum 'Ba1 Pb6 Au2'
_cell_length_a 4.8287
_cell_length_b 4.8287
_cell_length_c 11.7805
_cell_angle_alpha 90.00
_cell_angle_beta 90.00
_cell_angle_gamma 90.00
_space_group_name_H-M_alt 'P 4/m m m'
_space_group_IT_number 123
_space_group_name_Hall '-P 4 2'
loop_
_atom_site_label
_atom_site_fract_x
_atom_site_fract_y
_atom_site_fract_z
_atom_site_occupancy
Ba1 0.0000 0.0000 0.0000 1
Pb1 0.0000 0.0000 0.5000 1
Pb2 0.0000 0.5000 0.2773 1
Pb3 0.5000 0.5000 0.5000 1
Au1 0.5000 0.5000 0.1155 1
```

---

Version b
BaPb6Au2: optimized geometry, GGA-PBE.

```
data_BaPb6Au2
_chemical_formula_sum 'Ba2 Pb12 Au4'
_cell_length_a 13.3941
_cell_length_b 11.8229
_cell_length_c 3.6950
_cell_angle_alpha 90.00
_cell_angle_beta 103.90
_cell_angle_gamma 90.00
_space_group_name_H-M_alt 'C 1 2/m 1'
_space_group_IT_number 12
loop_
_space_group_symop_operation_xyz
'x,y,z'
'-x,-y,-z'
'-x,y,-z'
'x,-y,z'
'x+1/2,y+1/2,z'
'-x+1/2,-y+1/2,-z'
'-x+1/2,y+1/2,-z'
'x+1/2,-y+1/2,z'
loop_
_atom_site_label
_atom_site_fract_x
_atom_site_fract_y
_atom_site_fract_z
_atom_site_occupancy
Ba1 0.0000 0.0000 0.0000 1
Pb1 0.0000 0.3276 0.5000 1
Pb2 0.2151 0.1454 0.7140 1
Au1 0.1073 0.5000 0.1074 1
```

---

Energies, relative to the best one, in meV per atom: version a 0; version b 156.

---

Version a
BaPb3Au3: optimized geometry, GGA-PBE.

```
data_BaPb3Au3
_chemical_formula_sum 'Ba6 Pb18 Au18'
_cell_length_a 9.0866
_cell_length_b 9.0866
_cell_length_c 18.3179
_cell_angle_alpha 90.00
_cell_angle_beta 90.00
_cell_angle_gamma 120.00
_space_group_name_H-M_alt 'R -3'
_space_group_IT_number 148
_space_group_name_Hall '-R 3'
loop_
_atom_site_label
_atom_site_fract_x
_atom_site_fract_y
_atom_site_fract_z
_atom_site_occupancy
Ba1 0.0000 0.0000 0.1651 1
Pb1 0.0011 0.2952 0.5923 1
Au1 0.0032 0.3557 0.4155 1
```

---

Version b
BaPb3Au3: optimized geometry, GGA-PBE.

```
data_BaPb3Au3
_chemical_formula_sum 'Ba2 Pb6 Au6'
_cell_length_a 7.8737
_cell_length_b 7.8737
_cell_length_c 7.8737
_cell_angle_alpha 90.00
_cell_angle_beta 90.00
_cell_angle_gamma 90.00
_space_group_name_H-M_alt 'P m -3 n'
_space_group_IT_number 223
_space_group_name_Hall '-P 4n 2 3'
loop_
_atom_site_label
_atom_site_fract_x
_atom_site_fract_y
_atom_site_fract_z
_atom_site_occupancy
Ba1 0.0000 0.0000 0.0000 1
Pb1 0.0000 0.2500 0.5000 1
Au1 0.0000 0.5000 0.2500 1
```

---

Version c
BaPb3Au3: optimized geometry, GGA-PBE.

```
data_BaPb3Au3
_chemical_formula_sum 'Ba2 Pb6 Au6'
_cell_length_a 9.6187
_cell_length_b 4.9539
_cell_length_c 9.6390
_cell_angle_alpha 90.00
_cell_angle_beta 119.93
_cell_angle_gamma 90.00
_space_group_name_H-M_alt 'P 1 21/m 1'
_space_group_IT_number 11
loop_
_space_group_symop_operation_xyz
'x,y,z'
'-x,-y,-z'
'-x,y+1/2,-z'
'x,-y+1/2,z'
loop_
_atom_site_label
_atom_site_fract_x
_atom_site_fract_y
_atom_site_fract_z
_atom_site_occupancy
Ba1 0.1665 0.2500 0.3329 1
Pb1 0.2306 0.2500 0.9608 1
Pb2 0.2689 0.7500 0.7294 1
Pb3 0.4611 0.7500 0.2311 1
Au1 0.0402 0.2500 0.5985 1
Au2 0.0983 0.7500 0.0580 1
Au3 0.4414 0.7500 0.5396 1
```

---

Energies, relative to the best one, in meV per atom: version a 114; version b 198; version c 0.

---

Version a
BaPb4Au: optimized geometry, GGA-PBE.

```
data_BaPb4Au
_chemical_formula_sum 'Ba4 Pb16 Au4'
_cell_length_a 9.2531
_cell_length_b 9.2531
_cell_length_c 9.2531
_cell_angle_alpha 90.00
_cell_angle_beta 90.00
_cell_angle_gamma 90.00
_space_group_name_H-M_alt 'F -4 3 m'
_space_group_IT_number 216
_space_group_name_Hall 'F -4 2 3'
loop_
_atom_site_label
_atom_site_fract_x
_atom_site_fract_y
_atom_site_fract_z
_atom_site_occupancy
Ba1 0.0000 0.0000 0.0000 1
Pb1 0.1246 0.1246 0.6246 1
Au1 0.2500 0.2500 0.2500 1
```

---

Version b
BaPb4Au: optimized geometry, GGA-PBE.

```
data_BaPb4Au
_chemical_formula_sum 'Ba1 Pb4 Au1'
_cell_length_a 4.2867
_cell_length_b 4.3240
_cell_length_c 10.4178
_cell_angle_alpha 86.64
_cell_angle_beta 89.32
_cell_angle_gamma 88.70
_space_group_name_H-M_alt 'P -1'
_space_group_IT_number 2
loop_
_space_group_symop_operation_xyz
'x,y,z'
'-x,-y,-z'
loop_
_atom_site_label
_atom_site_fract_x
_atom_site_fract_y
_atom_site_fract_z
_atom_site_occupancy
Ba1 0.0000 0.0000 0.0000 1
Pb1 0.0204 0.0838 0.6432 1
Pb2 0.4848 0.4396 0.2205 1
Au1 0.5000 0.5000 0.5000 1
```

---

Energies, relative to the best one, in meV per atom: version a 91; version b 0.

---

Version a
Ba2Pb5Au3: optimized geometry, GGA-PBE.

```
data_Ba2Pb5Au3
_chemical_formula_sum 'Ba2 Pb5 Au3'
_cell_length_a 5.2389
_cell_length_b 5.2389
_cell_length_c 11.6217
_cell_angle_alpha 90.00
_cell_angle_beta 90.00
_cell_angle_gamma 90.00
_space_group_name_H-M_alt 'P -4 m 2'
_space_group_IT_number 115
loop_
_space_group_symop_operation_xyz
'x,y,z'
'y,-x,-z'
'-x,-y,z'
'-y,x,-z'
'-x,y,z'
'-y,-x,-z'
'x,-y,z'
'y,x,-z'
loop_
_atom_site_label
_atom_site_fract_x
_atom_site_fract_y
_atom_site_fract_z
_atom_site_occupancy
Ba1 0.0000 0.5000 0.2163 1
Pb1 0.0000 0.0000 0.5000 1
Pb2 0.0000 0.5000 0.6594 1
Pb3 0.5000 0.5000 0.0000 1
Pb4 0.5000 0.5000 0.5000 1
Au1 0.0000 0.0000 0.0000 1
Au2 0.0000 0.5000 0.9015 1
```

---

Version b
Ba2Pb5Au3: optimized geometry, GGA-PBE.

```
data_Ba2Pb5Au3
_chemical_formula_sum 'Ba8 Pb20 Au12'
_cell_length_a 11.8634
_cell_length_b 14.5477
_cell_length_c 7.2273
_cell_angle_alpha 90.00
_cell_angle_beta 90.00
_cell_angle_gamma 90.00
_space_group_name_H-M_alt 'I b a m'
_space_group_IT_number 72
_space_group_name_Hall '-I 2 2c'
loop_
_atom_site_label
_atom_site_fract_x
_atom_site_fract_y
_atom_site_fract_z
_atom_site_occupancy
Ba1 0.2420 0.1242 0.0000 1
Pb1 0.0000 0.2599 0.2500 1
Pb2 0.0000 0.5000 0.2500 1
Pb3 0.1306 0.1134 0.5000 1
Au1 0.0000 0.0000 0.2500 1
Au2 0.1326 0.3783 0.0000 1
```

---

Energies, relative to the best one, in meV per atom: version a 62; version b 0.

---

Version a
Ba2Pb3Au: optimized geometry, GGA-PBE.

```
data_Ba2Pb3Au
_chemical_formula_sum 'Ba4 Pb6 Au2'
_cell_length_a 12.4268
_cell_length_b 5.3019
_cell_length_c 8.5688
_cell_angle_alpha 90.00
_cell_angle_beta 133.34
_cell_angle_gamma 90.00
_space_group_name_H-M_alt 'C 1 m 1'
_space_group_IT_number 8
loop_
_space_group_symop_operation_xyz
'x,y,z'
'x,-y,z'
'x+1/2,y+1/2,z'
'x+1/2,-y+1/2,z'
loop_
_atom_site_label
_atom_site_fract_x
_atom_site_fract_y
_atom_site_fract_z
_atom_site_occupancy
Ba1 0.0000 0.0000 0.0000 1
Ba2 0.1027 0.0000 0.6073 1
Pb1 0.1946 0.5000 0.9751 1
Pb2 0.2216 0.5000 0.3955 1
Pb3 0.3895 0.0000 0.2348 1
Au1 0.3694 0.0000 0.5857 1
```

---

Version b
Ba2Pb3Au: optimized geometry, GGA-PBE.

```
data_Ba2Pb3Au
_chemical_formula_sum 'Ba16 Pb24 Au8'
_cell_length_a 10.0213
_cell_length_b 10.1187
_cell_length_c 17.4998
_cell_angle_alpha 90.00
_cell_angle_beta 90.00
_cell_angle_gamma 90.00
_space_group_name_H-M_alt 'F m m m'
_space_group_IT_number 69
_space_group_name_Hall '-F 2 2'
loop_
_atom_site_label
_atom_site_fract_x
_atom_site_fract_y
_atom_site_fract_z
_atom_site_occupancy
Ba1 0.2479 0.0000 0.0000 1
Ba2 0.2500 0.2500 0.2500 1
Pb1 0.0000 0.0000 0.1721 1
Pb2 0.0000 0.2399 0.4138 1
Au1 0.0000 0.0000 0.3325 1
```

---

Energies, relative to the best one, in meV per atom: version a 0; version b 12.

---

Version a
Ba3PbAu: optimized geometry, GGA-PBE.

```
data_Ba3PbAu
_chemical_formula_sum 'Ba3 Pb1 Au1'
_cell_length_a 6.2539
_cell_length_b 6.2539
_cell_length_c 6.2539
_cell_angle_alpha 90.00
_cell_angle_beta 90.00
_cell_angle_gamma 90.00
_space_group_name_H-M_alt 'P m -3 m'
_space_group_IT_number 221
_space_group_name_Hall '-P 4 2 3'
loop_
_atom_site_label
_atom_site_fract_x
_atom_site_fract_y
_atom_site_fract_z
_atom_site_occupancy
Ba1 0.0000 0.0000 0.5000 1
Pb1 0.5000 0.5000 0.5000 1
Au1 0.0000 0.0000 0.0000 1
```

---

Version b
Ba3PbAu: optimized geometry, GGA-PBE.

```
data_Ba3PbAu
_chemical_formula_sum 'Ba12 Pb4 Au4'
_cell_length_a 11.5011
_cell_length_b 16.8975
_cell_length_c 4.6696
_cell_angle_alpha 90.00
_cell_angle_beta 90.00
_cell_angle_gamma 90.00
_space_group_name_H-M_alt 'C m m m'
_space_group_IT_number 65
_space_group_name_Hall '-C 2 2'
loop_
_atom_site_label
_atom_site_fract_x
_atom_site_fract_y
_atom_site_fract_z
_atom_site_occupancy
Ba1 0.0000 0.1612 0.0000 1
Ba2 0.1902 0.3860 0.5000 1
Pb1 0.0000 0.0000 0.5000 1
Pb2 0.0000 0.5000 0.0000 1
Au1 0.2500 0.2500 0.0000 1
```

---

Energies, relative to the best one, in meV per atom: version a 144; version b 0.

---

Version a
Ba2PdAu3: optimized geometry, GGA-PBE.

```
data_Ba2PdAu3
_chemical_formula_sum 'Ba2 Pd1 Au3'
_cell_length_a 4.3047
_cell_length_b 4.8063
_cell_length_c 8.3376
_cell_angle_alpha 90.00
_cell_angle_beta 90.00
_cell_angle_gamma 90.00
_space_group_name_H-M_alt 'P m m 2'
_space_group_IT_number 25
loop_
_space_group_symop_operation_xyz
'x,y,z'
'-x,-y,z'
'-x,y,z'
'x,-y,z'
loop_
_atom_site_label
_atom_site_fract_x
_atom_site_fract_y
_atom_site_fract_z
_atom_site_occupancy
Ba1 0.0000 0.0000 0.0000 1
Ba2 0.0000 0.5000 0.4863 1
Pd1 0.5000 0.0000 0.3225 1
Au1 0.5000 0.0000 0.6504 1
Au2 0.5000 0.5000 0.1652 1
Au3 0.5000 0.5000 0.8273 1
```

---

Version b
Ba2PdAu3: optimized geometry, GGA-PBE.

```
data_Ba2PdAu3
_chemical_formula_sum 'Ba4 Pd2 Au6'
_cell_length_a 4.9539
_cell_length_b 6.1074
_cell_length_c 11.6842
_cell_angle_alpha 90.00
_cell_angle_beta 90.00
_cell_angle_gamma 90.00
_space_group_name_H-M_alt 'I m m m'
_space_group_IT_number 71
_space_group_name_Hall '-I 2 2'
loop_
_atom_site_label
_atom_site_fract_x
_atom_site_fract_y
_atom_site_fract_z
_atom_site_occupancy
Ba1 0.0000 0.0000 0.1899 1
Pd1 0.0000 0.0000 0.5000 1
Au1 0.0000 0.5000 0.1184 1
Au2 0.0000 0.5000 0.5000 1
```

---

Energies, relative to the best one, in meV per atom: version a 0; version b 225.